The following is a DFT calculation (PBE) of a geometry-optimized Ti2NbGa5Pd2 structure.

a b c (Å): 4.069 8.945 8.945
angles (deg): 90.00 90.00 90.00
Fractional positions:
Ti: 0.000 0.672 0.172
Ti: 0.000 0.328 0.828
Ti: 0.000 0.172 0.328
Ti: 0.000 0.828 0.672
Nb: 0.000 0.000 0.000
Nb: 0.000 0.500 0.500
Ga: 0.500 0.194 0.089
Ga: 0.500 0.806 0.911
Ga: 0.500 0.089 0.806
Ga: 0.500 0.694 0.411
Ga: 0.500 0.911 0.194
Ga: 0.500 0.306 0.589
Ga: 0.500 0.589 0.694
Ga: 0.500 0.411 0.306
Ga: 0.500 0.500 0.000
Ga: 0.500 0.000 0.500
Pd: 0.000 0.125 0.625
Pd: 0.000 0.875 0.375
Pd: 0.000 0.625 0.875
Pd: 0.000 0.375 0.125

## Properties
The formation energy from the elements comes out at -0.37 eV/atom. As for the size of the total moment: 0.00 μB per cell. The crystal system is tetragonal. The density of states at the Fermi level is 13.38 states/eV per cell.


The following is a DFT calculation (PBE) of a geometry-optimized TiNbGaPd structure.

a b c (Å): 4.513 4.513 4.513
angles (deg): 60.00 60.00 60.00
Fractional positions:
Nb: 0.750 0.750 0.750
Ga: 0.500 0.500 0.500
Pd: 0.250 0.250 0.250
Ti: 0.000 0.000 0.000

## Properties
The formation energy from the elements comes out at -0.22 eV/atom. As for the size of the total moment: 1.99 μB per cell. The crystal system is cubic. The density of states at the Fermi level is 4.38 states/eV per cell.